Entry 1:
# Li4Fe2Cu3O10

A relaxed structure of Li4Fe2Cu3O10 (PBEsol, Alexandria via LeMat-Bulk).

POSCAR file:
```
Li4Fe2Cu3O10
1.0
4.965 0.000 0.000
-1.357 4.975 0.000
-1.592 -2.432 6.850
Li Fe Cu O
4 2 3 10
direct
0.101 0.209 0.222 Li
0.280 0.578 0.597 Li
0.720 0.422 0.403 Li
0.899 0.791 0.778 Li
0.406 0.824 0.315 Fe
0.594 0.176 0.685 Fe
0.194 0.377 0.893 Cu
0.500 0.000 0.000 Cu
0.806 0.623 0.107 Cu
0.066 0.607 0.330 O
0.164 0.837 0.081 O
0.295 0.974 0.754 O
0.377 0.177 0.459 O
0.443 0.479 0.164 O
0.557 0.521 0.836 O
0.623 0.823 0.541 O
0.705 0.026 0.246 O
0.836 0.163 0.919 O
0.934 0.393 0.670 O
```

Calculated values
DOS at the Fermi energy	5.1	states/eV/f.u.
V	169.2	Å³ per cell
ΔE_f (raw)	-1.252	eV/atom
raw total energy	-115.081	eV per cell

Entry 2:
# Pr4Fe3Si4Ru

A relaxed structure of Pr4Fe3Si4Ru (PBEsol, Alexandria via LeMat-Bulk).

POSCAR file:
```
Pr4Fe3Si4Ru
1.0
4.057 0.000 0.000
0.000 4.057 0.000
0.000 0.000 13.870
Pr Fe Si Ru
4 3 4 1
direct
0.000 0.500 0.156 Pr
0.000 0.500 0.663 Pr
0.500 0.000 0.337 Pr
0.500 0.000 0.844 Pr
0.000 0.000 0.000 Fe
0.500 0.500 0.000 Fe
0.500 0.500 0.500 Fe
0.000 0.500 0.414 Si
0.000 0.500 0.920 Si
0.500 0.000 0.080 Si
0.500 0.000 0.586 Si
0.000 0.000 0.500 Ru
```

Calculated values
DOS at the Fermi energy	11.9	states/eV/f.u.
V	228.3	Å³ per cell
ΔE_f (raw)	-0.641	eV/atom
raw total energy	-88.485	eV per cell

Entry 3:
# MgTe2MoN

A relaxed structure of MgTe2MoN (PBEsol, Alexandria via LeMat-Bulk).

POSCAR file:
```
MgTe2MoN
1.0
4.804 0.000 0.000
0.000 4.804 0.000
0.000 0.000 3.786
Mg Te Mo N
1 2 1 1
direct
0.000 0.000 0.000 Mg
0.000 0.500 0.500 Te
0.500 0.000 0.500 Te
0.500 0.500 0.000 Mo
0.000 0.000 0.500 N
```

Calculated values
DOS at the Fermi energy	3.5	states/eV/f.u.
V	87.4	Å³ per cell
ΔE_f (raw)	0.472	eV/atom
raw total energy	-26.704	eV per cell